No. 1
Compound: PPtW2
Source: Alexandria via LeMat-Bulk
Functional: GGA-PBE
Structure: optimized geometry

Results
M_tot in μB per formula unit: 0.00
Space group: Pmmm, No. 47
Energy in eV per atom: -9.028
DFT formation energy in eV/atom: 0.311
Mass density in g/cm3: 16.0

Cell: 3.2793 4.2502 4.4087 Å, 90.00 90.00 90.00°
Element x y z (fractional)
P: 0.0000 0.0000 0.0000
Pt: 0.5000 0.5000 0.0000
W: 0.0000 0.5000 0.5000
W: 0.5000 0.0000 0.5000

=====

No. 2
Compound: P2PtW
Source: Alexandria via LeMat-Bulk
Functional: GGA-PBE
Structure: optimized geometry

Results
M_tot in μB per formula unit: 0.00
Space group: Cm, No. 8
Energy in eV per atom: -7.653
DFT formation energy in eV/atom: -0.200
Mass density in g/cm3: 11.9

Cell: 4.3704 4.3704 4.7314 Å, 103.33 103.33 44.56°
Element x y z (fractional)
P: 0.0000 0.0000 0.0000
P: 0.2272 0.2272 0.6088
Pt: 0.4753 0.4753 0.3992
W: 0.7105 0.7105 0.9904